Entry 1:
Below is a relaxed Al2SeCl crystal, with properties calculated at the PBE level.

The formation energy without anion corrections comes out at 0.140 eV/atom. The calculation puts the offset from the most stable computed form at 0.775 eV/atom. Its volume is 82.29 Å³/f.u. As for the total magnetization: 0.00 μB/atom.

The space group is F-43m (No. 216) and the conventional cell measures 6.9045, 6.9045 and 6.9045 Å, with angles of 90.00, 90.00 and 90.00 degrees. The asymmetric unit holds Al at (0.0000, 0.0000, 0.0000), Al at (0.2500, 0.2500, 0.2500), Se at (0.0000, 0.0000, 0.5000) and Cl at (0.2500, 0.2500, 0.7500).

Entry 2:
Below is a relaxed CaTm2IrO8 crystal, with properties calculated at the PBE level.

The formation energy without anion corrections comes out at -2.132 eV/atom. Its volume is 168.95 Å³/f.u. As for the total magnetization: 0.07 μB/atom.

The space group is P2/m (No. 10) and the conventional cell measures 4.9747, 6.8099 and 4.9873 Å, with angles of 90.00, 90.39 and 90.00 degrees. The asymmetric unit holds Ca at (0.0000, 0.0000, 0.0000), Tm at (0.5000, 0.2443, 0.5000), Ir at (0.0000, 0.5000, 0.0000), O at (0.1877, 0.3007, 0.8137), O at (0.2731, 0.5000, 0.2739) and O at (0.3129, 0.0000, 0.3141).

Entry 3:
Below is a relaxed CaOsRu crystal, with properties calculated at the PBE level.

The calculation puts the offset from the most stable computed form at 1.879 eV/atom. Its volume is 61.88 Å³/f.u. As for the total magnetization: 0.89 μB/atom. The value obtained for the energy of formation from the pure elements is 1969 meV/atom.

The space group is F-43m (No. 216) and the conventional cell measures 6.2788, 6.2788 and 6.2788 Å, with angles of 90.00, 90.00 and 90.00 degrees. The asymmetric unit holds Ca at (0.0000, 0.0000, 0.0000), Os at (0.2500, 0.2500, 0.2500) and Ru at (0.2500, 0.2500, 0.7500).

Entry 4:
Below is a relaxed TlCr2Se3 crystal, with properties calculated at the PBE level.

The formation energy without anion corrections comes out at -0.377 eV/atom. Its volume is 140.14 Å³/f.u. As for the total magnetization: 1.17 μB/atom.

The space group is Cmcm (No. 63) and the conventional cell measures 3.7784, 13.9922 and 10.6031 Å, with angles of 90.00, 90.00 and 90.00 degrees. The asymmetric unit holds Tl at (0.0000, 0.2337, 0.2500), Cr at (0.0000, 0.0802, 0.7500), Cr at (0.0000, 0.5000, 0.0000), Se at (0.0000, 0.1238, 0.5254) and Se at (0.0000, 0.4656, 0.7500).

| no. | calculated total energy (eV/atom) |
| --- | --- |
| 1 | -3.06 |
| 2 | -7.09 |
| 3 | -5.53 |
| 4 | -5.72 |